No. 1
DFT (PBE) results for an optimized crystal structure of Tb2Sm3Pt2.

DFT formation energy = -732 meV/atom
Size of the total moment = 0.000 μB/f.u.
E = -5.803 eV per atom
Density of states at the Fermi level = 8.06 states/eV per cell

Cell and atoms, written as POSCAR:
```
Tb2Sm3Pt2
1.0
-2.281 -0.862 2.944
2.677 -5.550 -2.032
6.884 3.774 3.952
Sm Pt Tb
3 2 2
Direct
0.820 0.206 0.433
0.180 0.794 0.567
0.500 0.000 0.000
0.060 0.884 0.236
0.940 0.116 0.764
0.352 0.518 0.187
0.648 0.482 0.813
```

***

No. 2
DFT (PBE) results for an optimized crystal structure of Ac3HgAs2Pd9.

DFT formation energy = -616 meV/atom
Size of the total moment = 0.000 μB/f.u.
E = -5.193 eV per atom
Density of states at the Fermi level = 2.50 states/eV per cell

Cell and atoms, written as POSCAR:
```
Ac3HgAs2Pd9
1.0
6.347 0.000 0.000
-3.173 5.496 0.000
0.000 0.000 10.369
Ac Pd As Hg
3 9 2 1
Direct
0.000 0.000 0.000
0.667 0.333 0.276
0.333 0.667 0.724
0.500 0.500 0.000
0.000 0.500 0.000
0.856 0.144 0.720
0.144 0.289 0.280
0.856 0.711 0.720
0.711 0.856 0.280
0.500 0.000 0.000
0.289 0.144 0.720
0.144 0.856 0.280
0.333 0.667 0.164
0.667 0.333 0.836
0.000 0.000 0.500
```

***

No. 3
DFT (PBE) results for an optimized crystal structure of CaLaAlHg.

DFT formation energy = -420 meV/atom
Size of the total moment = 0.000 μB/f.u.
E = -3.163 eV per atom
Density of states at the Fermi level = 2.41 states/eV per cell

Cell and atoms, written as POSCAR:
```
CaLaAlHg
1.0
-0.416 4.153 -3.441
-1.532 -0.868 -5.114
-4.872 1.643 -1.680
Ca Hg La Al
1 1 1 1
Direct
0.250 0.250 0.250
0.000 0.000 0.000
0.750 0.750 0.750
0.500 0.500 0.500
```

***

DFT formation energy of number 2 (Ac3HgAs2Pd9)? -616 meV/atom

***

Among the records above, which one has the lowest density of states at the Fermi level? CaLaAlHg

***

Look up the E of the first one. -5.803 eV per atom